Computed, not measured: a geometry-optimized TbDy2ThS4 structure at the PBE level of DFT.

Lattice parameters (Å, degrees): 6.846 3.917 6.863 90.00 109.15 90.00
Fractional positions:
1 Tb 0.000 0.000 0.000
2 Dy 0.000 0.500 0.500
3 Dy 0.500 0.000 0.500
4 Th 0.500 0.500 0.000
5 S 0.241 0.000 0.740
6 S 0.247 0.500 0.256
7 S 0.753 0.500 0.744
8 S 0.759 0.000 0.260

Values from the calculation:
Crystal system: monoclinic
Total energy: -6.666 eV/atom
N(E_F): 0.4055 states/eV/atom
Size of the total moment: 0.0 Bohr magnetons per cell
E_form (uncorrected): -1946 meV/atom

=====

Computed, not measured: a geometry-optimized NaTh3Ir8 structure at the PBE level of DFT.

Lattice parameters (Å, degrees): 9.390 9.390 9.390 33.53 33.53 33.53
Fractional positions:
1 Na 0.000 0.000 0.000
2 Th 0.121 0.121 0.121
3 Th 0.505 0.505 0.505
4 Th 0.634 0.634 0.634
5 Ir 0.066 0.066 0.564
6 Ir 0.066 0.564 0.066
7 Ir 0.069 0.564 0.564
8 Ir 0.315 0.315 0.315
9 Ir 0.564 0.066 0.066
10 Ir 0.564 0.069 0.564
11 Ir 0.564 0.564 0.069
12 Ir 0.815 0.815 0.815

Values from the calculation:
Crystal system: trigonal
Total energy: -8.531 eV/atom
N(E_F): 0.4426 states/eV/atom
Size of the total moment: 0.0 Bohr magnetons per cell
Calculated formation energy: -659 meV per atom

=====

Computed, not measured: a geometry-optimized KLiPtF6 structure at the PBE level of DFT.

Lattice parameters (Å, degrees): 7.513 7.513 7.513 123.82 121.03 85.87
Fractional positions:
1 K 0.283 0.033 0.250
2 K 0.717 0.967 0.750
3 Li 0.000 0.000 0.500
4 Li 0.000 0.500 0.000
5 Pt 0.000 0.500 0.500
6 Pt 0.500 0.500 0.000
7 F 0.052 0.802 0.250
8 F 0.067 0.400 0.242
9 F 0.067 0.824 0.667
10 F 0.322 0.572 0.750
11 F 0.343 0.176 0.742
12 F 0.343 0.600 0.167
13 F 0.657 0.400 0.833
14 F 0.657 0.824 0.258
15 F 0.678 0.428 0.250
16 F 0.933 0.176 0.333
17 F 0.933 0.600 0.758
18 F 0.948 0.198 0.750

Values from the calculation:
Crystal system: orthorhombic
Total energy: -4.250 eV/atom
N(E_F): 0.2782 states/eV/atom
Size of the total moment: 0.2 Bohr magnetons per cell
E_form (uncorrected): -1996 meV/atom

=====

Computed, not measured: a geometry-optimized CoB3Te structure at the PBE level of DFT.

Lattice parameters (Å, degrees): 4.400 4.400 4.400 90.00 90.00 90.00
Fractional positions:
1 Co 0.000 0.000 0.000
2 B 0.000 0.500 0.500
3 B 0.500 0.000 0.500
4 B 0.500 0.500 0.000
5 Te 0.500 0.500 0.500

Values from the calculation:
Crystal system: cubic
Total energy: -3.448 eV/atom
N(E_F): 0.7323 states/eV/atom
Energy above the lowest structure with this stoichiometry: 1.401 eV per atom
Size of the total moment: 2.0 Bohr magnetons per cell
E_form (uncorrected): 2608 meV/atom

=====

Computed, not measured: a geometry-optimized CaCePm4Se8 structure at the PBE level of DFT.

Lattice parameters (Å, degrees): 8.687 8.687 8.687 59.74 59.74 59.74
Fractional positions:
1 Ca 0.000 0.000 0.000
2 Ce 0.626 0.626 0.626
3 Pm 0.119 0.627 0.627
4 Pm 0.250 0.250 0.250
5 Pm 0.627 0.119 0.627
6 Pm 0.627 0.627 0.119
7 Se 0.381 0.381 0.852
8 Se 0.381 0.852 0.381
9 Se 0.383 0.383 0.383
10 Se 0.400 0.868 0.868
11 Se 0.852 0.381 0.381
12 Se 0.867 0.867 0.867
13 Se 0.868 0.400 0.868
14 Se 0.868 0.868 0.400

Values from the calculation:
Crystal system: trigonal
Total energy: -5.702 eV/atom
N(E_F): 0.7474 states/eV/atom
Size of the total moment: 1.4 Bohr magnetons per cell
E_form (uncorrected): -1786 meV/atom

=====

Computed, not measured: a geometry-optimized Tb2PrGe2Pd2 structure at the PBE level of DFT.

Lattice parameters (Å, degrees): 9.485 9.485 9.485 27.52 27.52 27.52
Fractional positions:
1 Tb 0.126 0.126 0.126
2 Tb 0.874 0.874 0.874
3 Pr 0.000 0.000 0.000
4 Ge 0.255 0.255 0.255
5 Ge 0.745 0.745 0.745
6 Pd 0.405 0.405 0.405
7 Pd 0.595 0.595 0.595

Values from the calculation:
Crystal system: trigonal
Total energy: -5.610 eV/atom
N(E_F): 0.4201 states/eV/atom
Size of the total moment: 0.0 Bohr magnetons per cell
Calculated formation energy: -801 meV per atom

=====

Computed, not measured: a geometry-optimized NdAlNi5Ge2 structure at the PBE level of DFT.

Lattice parameters (Å, degrees): 3.813 3.813 10.216 90.00 90.00 90.00
Fractional positions:
1 Nd 0.000 0.000 0.000
2 Al 0.000 0.000 0.500
3 Ni 0.000 0.500 0.357
4 Ni 0.000 0.500 0.643
5 Ni 0.500 0.000 0.357
6 Ni 0.500 0.000 0.643
7 Ni 0.500 0.500 0.000
8 Ge 0.500 0.500 0.223
9 Ge 0.500 0.500 0.777

Values from the calculation:
Crystal system: tetragonal
Total energy: -5.419 eV/atom
N(E_F): 0.5150 states/eV/atom
Size of the total moment: 0.0 Bohr magnetons per cell
Calculated formation energy: -235 meV per atom

=====

Computed, not measured: a geometry-optimized Tl2AgBSe4 structure at the PBE level of DFT.

Lattice parameters (Å, degrees): 6.504 6.504 6.504 115.55 115.55 97.90
Fractional positions:
1 Tl 0.000 0.000 0.000
2 Tl 0.750 0.250 0.500
3 Ag 0.500 0.500 0.000
4 B 0.250 0.750 0.500
5 Se 0.203 0.690 0.140
6 Se 0.310 0.450 0.512
7 Se 0.550 0.062 0.860
8 Se 0.938 0.797 0.488

Values from the calculation:
Crystal system: tetragonal
Total energy: -3.713 eV/atom
N(E_F): 0.0785 states/eV/atom
Size of the total moment: 0.0 Bohr magnetons per cell
E_form (uncorrected): -188 meV/atom

=====

Computed, not measured: a geometry-optimized Zr5Co4Ni structure at the PBE level of DFT.

Lattice parameters (Å, degrees): 3.183 3.183 16.108 90.00 90.00 90.00
Fractional positions:
1 Zr 0.000 0.000 0.000
2 Zr 0.000 0.000 0.200
3 Zr 0.000 0.000 0.398
4 Zr 0.000 0.000 0.602
5 Zr 0.000 0.000 0.800
6 Co 0.500 0.500 0.100
7 Co 0.500 0.500 0.298
8 Co 0.500 0.500 0.702
9 Co 0.500 0.500 0.900
10 Ni 0.500 0.500 0.500

Values from the calculation:
Crystal system: tetragonal
Total energy: -7.985 eV/atom
N(E_F): 1.0576 states/eV/atom
Size of the total moment: 1.7 Bohr magnetons per cell
Calculated formation energy: -290 meV per atom

=====

Computed, not measured: a geometry-optimized Na2CaTc structure at the PBE level of DFT.

Lattice parameters (Å, degrees): 5.274 5.274 5.274 60.00 60.00 60.00
Fractional positions:
1 Na 0.250 0.250 0.250
2 Na 0.750 0.750 0.750
3 Ca 0.000 0.000 0.000
4 Tc 0.500 0.500 0.500

Values from the calculation:
Crystal system: cubic
Total energy: -2.846 eV/atom
N(E_F): 0.7364 states/eV/atom
Energy above the lowest structure with this stoichiometry: 0.007 eV per atom
Size of the total moment: 2.5 Bohr magnetons per cell
Calculated formation energy: 905 meV per atom

=====

Computed, not measured: a geometry-optimized HoSc5Ni6 structure at the PBE level of DFT.

Lattice parameters (Å, degrees): 7.203 7.203 6.328 90.00 90.00 143.13
Fractional positions:
1 Ho 0.000 0.000 0.000
2 Sc 0.000 0.000 0.500
3 Sc 0.331 0.669 0.000
4 Sc 0.334 0.666 0.500
5 Sc 0.666 0.334 0.500
6 Sc 0.669 0.331 0.000
7 Ni 0.171 0.829 0.255
8 Ni 0.171 0.829 0.745
9 Ni 0.500 0.500 0.264
10 Ni 0.500 0.500 0.736
11 Ni 0.829 0.171 0.255
12 Ni 0.829 0.171 0.745

Values from the calculation:
Crystal system: orthorhombic
Total energy: -6.389 eV/atom
N(E_F): 0.6931 states/eV/atom
Size of the total moment: 0.0 Bohr magnetons per cell
Calculated formation energy: -479 meV per atom

=====

Computed, not measured: a geometry-optimized LaFeSi4 structure at the PBE level of DFT.

Lattice parameters (Å, degrees): 5.267 5.267 5.267 60.00 60.00 60.00
Fractional positions:
1 La 0.000 0.000 0.000
2 Fe 0.750 0.750 0.750
3 Si 0.379 0.379 0.379
4 Si 0.379 0.379 0.864
5 Si 0.379 0.864 0.379
6 Si 0.864 0.379 0.379

Values from the calculation:
Crystal system: cubic
Total energy: -5.719 eV/atom
N(E_F): 0.7216 states/eV/atom
Size of the total moment: 3.0 Bohr magnetons per cell
E_form (uncorrected): 128 meV/atom

=====

Computed, not measured: a geometry-optimized ZrInCl2 structure at the PBE level of DFT.

Lattice parameters (Å, degrees): 5.703 5.703 3.318 105.34 105.34 112.04
Fractional positions:
1 Zr 0.000 0.000 0.000
2 In 0.500 0.500 0.000
3 Cl 0.000 0.500 0.000
4 Cl 0.500 0.000 0.000

Values from the calculation:
Crystal system: monoclinic
Total energy: -4.320 eV/atom
N(E_F): 0.5386 states/eV/atom
Energy above the lowest structure with this stoichiometry: 0.470 eV per atom
Size of the total moment: 0.0 Bohr magnetons per cell
E_form (uncorrected): -575 meV/atom

=====

Computed, not measured: a geometry-optimized BaPm4SmS8 structure at the PBE level of DFT.

Lattice parameters (Å, degrees): 8.426 8.426 8.426 60.08 60.08 60.08
Fractional positions:
1 Ba 0.000 0.000 0.000
2 Pm 0.120 0.626 0.626
3 Pm 0.250 0.250 0.250
4 Pm 0.626 0.120 0.626
5 Pm 0.626 0.626 0.120
6 Sm 0.627 0.627 0.627
7 S 0.382 0.382 0.382
8 S 0.383 0.383 0.852
9 S 0.383 0.852 0.383
10 S 0.425 0.857 0.857
11 S 0.852 0.383 0.383
12 S 0.857 0.425 0.857
13 S 0.857 0.857 0.425
14 S 0.858 0.858 0.858

Values from the calculation:
Crystal system: trigonal
Total energy: -6.154 eV/atom
N(E_F): 0.2579 states/eV/atom
Size of the total moment: 0.0 Bohr magnetons per cell
E_form (uncorrected): -1964 meV/atom

=====

Computed, not measured: a geometry-optimized Dy3InTe6 structure at the PBE level of DFT.

Lattice parameters (Å, degrees): 9.656 9.656 7.376 90.00 90.00 102.24
Fractional positions:
1 Dy 0.092 0.908 0.500
2 Dy 0.221 0.413 0.392
3 Dy 0.413 0.221 0.892
4 Dy 0.587 0.779 0.392
5 Dy 0.779 0.587 0.892
6 Dy 0.908 0.092 0.000
7 In 0.294 0.706 0.866
8 In 0.706 0.294 0.366
9 Te 0.050 0.598 0.656
10 Te 0.126 0.202 0.700
11 Te 0.202 0.126 0.200
12 Te 0.277 0.723 0.245
13 Te 0.402 0.950 0.656
14 Te 0.467 0.533 0.698
15 Te 0.533 0.467 0.198
16 Te 0.598 0.050 0.156
17 Te 0.723 0.277 0.745
18 Te 0.798 0.874 0.700
19 Te 0.874 0.798 0.200
20 Te 0.950 0.402 0.156

Values from the calculation:
Crystal system: orthorhombic
Total energy: -4.628 eV/atom
Size of the total moment: 0.0 Bohr magnetons per cell
E_form (uncorrected): -1089 meV/atom

=====

Computed, not measured: a geometry-optimized HgTeN2F structure at the PBE level of DFT.

Lattice parameters (Å, degrees): 4.166 4.166 4.334 90.00 90.00 90.00
Fractional positions:
1 Hg 0.000 0.000 0.000
2 Te 0.500 0.500 0.500
3 N 0.000 0.500 0.500
4 N 0.500 0.000 0.500
5 F 0.500 0.500 0.000

Values from the calculation:
Crystal system: tetragonal
Total energy: -3.620 eV/atom
N(E_F): 0.3504 states/eV/atom
Energy above the lowest structure with this stoichiometry: 0.000 eV per atom
Size of the total moment: 0.0 Bohr magnetons per cell
E_form (uncorrected): 773 meV/atom